Entry 1:
# Li2PmCu2P2

Li2PmCu2P2 after structural relaxation (PBE, Alexandria via LeMat-Bulk).

Results
* ΔE_f: -775.6 meV per atom
* magnetic moment: 0.000 μB per atom
* VASP energy: -4.7171 eV per atom

Cell: 3.9991 3.9991 23.3115 Å, 90.00 90.00 120.00°
Space group R-3m (No. 166, hexagonal axes)
Asymmetric unit:
Li 0.0000 0.0000 0.1420 x6
Pm 0.0000 0.0000 0.0000 x3
Cu 0.0000 0.0000 0.4262 x6
P 0.0000 0.0000 0.2512 x6

=====

Entry 2:
# KCoPt2

KCoPt2 after structural relaxation (PBE, Alexandria via LeMat-Bulk).

Results
* ΔE_f: 266.0 meV per atom
* magnetic moment: 0.642 μB per atom
* VASP energy: -4.8053 eV per atom
* distance to the lowest polymorph of the same formula: 15.6 kJ/mol of atoms

Cell: 12.122 2.767 6.343 Å, 90.00 120.01 90.00°
Space group C2/m (No. 12)
Asymmetric unit:
K 0.000 0.000 0.000 x2
Co 0.000 0.500 0.500 x2
Pt 0.186 0.000 0.584 x4